1.
A geometry-optimized GdErSi structure. Source: Alexandria, functional PBE-GGA.

The structure in POSCAR format:
```
GdErSi
1.0
4.834 0.000 0.000
2.417 4.187 0.000
2.417 1.396 3.947
Si Er Gd
1 1 1
direct
0.250 0.250 0.250 Si
0.500 0.500 0.500 Er
0.000 0.000 0.000 Gd
```

Computed properties:
Formation energy from raw total energies = -0.4684 eV per atom

2.
A geometry-optimized GdErSi2 structure. Source: Alexandria, functional PBE-GGA.

The structure in POSCAR format:
```
GdErSi2
1.0
-2.256 -1.985 -3.461
2.323 -2.136 -3.323
-0.199 -5.701 0.365
Er Si Gd
1 2 1
direct
0.500 0.500 0.500 Er
0.754 0.754 0.739 Si
0.246 0.246 0.261 Si
0.000 0.000 0.000 Gd
```

Computed properties:
Formation energy from raw total energies = -0.5082 eV per atom

3.
A geometry-optimized Sm4GdEr structure. Source: Alexandria, functional PBE-GGA.

The structure in POSCAR format:
```
Sm4GdEr
1.0
6.642 0.000 0.000
3.321 5.752 0.000
3.321 1.917 5.423
Sm Er Gd
4 1 1
direct
0.626 0.626 0.626 Sm
0.626 0.626 0.123 Sm
0.123 0.626 0.626 Sm
0.626 0.123 0.626 Sm
0.000 0.000 0.000 Er
0.250 0.250 0.250 Gd
```

Computed properties:
Calculated formation energy = 0.25 eV per atom

4.
A geometry-optimized SmGdEr4 structure. Source: Alexandria, functional PBE-GGA.

The structure in POSCAR format:
```
SmGdEr4
1.0
-1.928 -2.755 -5.637
4.463 -1.865 -4.437
1.090 -6.382 -1.075
Er Gd Sm
4 1 1
direct
0.625 0.625 0.625 Er
0.625 0.625 0.126 Er
0.126 0.625 0.625 Er
0.625 0.126 0.625 Er
0.000 0.000 0.000 Gd
0.250 0.250 0.250 Sm
```

Computed properties:
Calculated formation energy = 0.26 eV per atom

> Number 1 is which compound?

GdErSi

Please write out number 4 again, unchanged.
A geometry-optimized SmGdEr4 structure. Source: Alexandria, functional PBE-GGA.

The structure in POSCAR format:
```
SmGdEr4
1.0
-1.928 -2.755 -5.637
4.463 -1.865 -4.437
1.090 -6.382 -1.075
Er Gd Sm
4 1 1
direct
0.625 0.625 0.625 Er
0.625 0.625 0.126 Er
0.126 0.625 0.625 Er
0.625 0.126 0.625 Er
0.000 0.000 0.000 Gd
0.250 0.250 0.250 Sm
```

Computed properties:
Calculated formation energy = 0.26 eV per atom